Entry 1:
# TlCu2PO (GGA-PBE, optimized geometry)
data_TlCu2PO
_chemical_formula_sum 'Tl1 Cu2 P1 O1'
_space_group_name_H-M_alt 'P 4/m m m'
_space_group_IT_number 123
_space_group_name_Hall '-P 4 2'
_cell_length_a 5.046
_cell_length_b 5.046
_cell_length_c 4.005
_cell_angle_alpha 90.00
_cell_angle_beta 90.00
_cell_angle_gamma 90.00
loop_
_atom_site_label
_atom_site_fract_x
_atom_site_fract_y
_atom_site_fract_z
_atom_site_occupancy
Tl1 0.000 0.000 0.000 1
Cu1 0.000 0.500 0.000 1
P1 0.500 0.500 0.500 1
O1 0.000 0.000 0.500 1
# DFT total energy in eV per atom: -3.088
# Calculated volume in Å³ per cell: 102.0



Entry 2:
# Tl2CuPO4 (GGA-PBE, optimized geometry)
data_Tl2CuPO4
_chemical_formula_sum 'Tl16 Cu8 P8 O32'
_space_group_name_H-M_alt 'F d d d'
_space_group_IT_number 70
_cell_length_a 5.253
_cell_length_b 10.848
_cell_length_c 20.083
_cell_angle_alpha 90.00
_cell_angle_beta 90.00
_cell_angle_gamma 90.00
loop_
_space_group_symop_operation_xyz
'x,y,z'
'-x,-y,-z'
'-x+1/4,-y+1/4,z'
'x+1/4,y+1/4,-z'
'x,-y+1/4,-z+1/4'
'-x,y+1/4,z+1/4'
'-x+1/4,y,-z+1/4'
'x+1/4,-y,z+1/4'
'x,y+1/2,z+1/2'
'-x,-y+1/2,-z+1/2'
'-x+1/4,-y+3/4,z+1/2'
'x+1/4,y+3/4,-z+1/2'
'x,-y+3/4,-z+3/4'
'-x,y+3/4,z+3/4'
'-x+1/4,y+1/2,-z+3/4'
'x+1/4,-y+1/2,z+3/4'
'x+1/2,y,z+1/2'
'-x+1/2,-y,-z+1/2'
'-x+3/4,-y+1/4,z+1/2'
'x+3/4,y+1/4,-z+1/2'
'x+1/2,-y+1/4,-z+3/4'
'-x+1/2,y+1/4,z+3/4'
'-x+3/4,y,-z+3/4'
'x+3/4,-y,z+3/4'
'x+1/2,y+1/2,z'
'-x+1/2,-y+1/2,-z'
'-x+3/4,-y+3/4,z'
'x+3/4,y+3/4,-z'
'x+1/2,-y+3/4,-z+1/4'
'-x+1/2,y+3/4,z+1/4'
'-x+3/4,y+1/2,-z+1/4'
'x+3/4,-y+1/2,z+1/4'
loop_
_atom_site_label
_atom_site_fract_x
_atom_site_fract_y
_atom_site_fract_z
_atom_site_occupancy
Tl1 0.125 0.125 0.299 1
Cu1 0.125 0.125 0.125 1
P1 0.125 0.125 0.625 1
O1 0.054 0.291 0.832 1
# DFT total energy in eV per atom: -5.553
# Calculated volume in Å³ per cell: 1144.3



Entry 3:
# TlCuPO2 (GGA-PBE, optimized geometry)
data_TlCuPO2
_chemical_formula_sum 'Tl1 Cu1 P1 O2'
_space_group_name_H-M_alt 'P 4/m m m'
_space_group_IT_number 123
_space_group_name_Hall '-P 4 2'
_cell_length_a 3.861
_cell_length_b 3.861
_cell_length_c 4.806
_cell_angle_alpha 90.00
_cell_angle_beta 90.00
_cell_angle_gamma 90.00
loop_
_atom_site_label
_atom_site_fract_x
_atom_site_fract_y
_atom_site_fract_z
_atom_site_occupancy
Tl1 0.000 0.000 0.000 1
Cu1 0.500 0.500 0.500 1
P1 0.500 0.500 0.000 1
O1 0.000 0.500 0.500 1
# Offset from the most stable computed form in eV per atom: 0.000
# Calculated volume in Å³ per cell: 71.7



| no. | ρ (g/cm3) |
| --- | --- |
| 1 | 6.16 |
| 2 | 6.59 |
| 3 | 7.67 |